This record from Alexandria via LeMat-Bulk describes crystalline BeZnPd2 at its relaxed geometry. The functional is PBE-GGA.

theoretical density: 8.8 Mg/m³
total energy: -17.0 eV per cell
energy relative to the lowest polymorph listed for this composition: 64 kJ/mol of formula units

Cell: 7.530 7.530 7.530 Å, 22.35 22.35 22.35°
Fractional coordinates of all 4 atoms:
Be1 0.000 0.000 0.000
Zn1 0.167 0.167 0.167
Pd1 0.405 0.405 0.405
Pd2 0.594 0.594 0.594